Entry 1:
The following is a DFT calculation (PBE-GGA) of a relaxed structure of Pr6Y3Tl.

Values from the calculation:
**Formation enthalpy at 0 K**: 15 meV/atom
**V**: 690.92 Å³ per cell

Unit cell a=3.6563 b=12.5616 c=15.0783 alpha=93.91 beta=90.00 gamma=90.00
Sites, in units of the cell vectors:
Pr1 0.2500 0.3807 0.5446
Pr2 0.7500 0.6193 0.4554
Pr3 0.2500 0.8880 0.9971
Pr4 0.7500 0.1120 0.0029
Pr5 0.2500 0.8117 0.6076
Pr6 0.7500 0.1883 0.3924
Pr7 0.2500 0.6999 0.2511
Pr8 0.7500 0.3001 0.7489
Pr9 0.2500 0.5630 0.8930
Pr10 0.7500 0.4370 0.1070
Pr11 0.2500 0.2049 0.1873
Pr12 0.7500 0.7951 0.8127
Y1 0.2500 0.1009 0.5816
Y2 0.7500 0.8991 0.4184
Y3 0.2500 0.4270 0.3173
Y4 0.7500 0.5730 0.6827
Y5 0.2500 0.0526 0.8027
Y6 0.7500 0.9474 0.1973
Tl1 0.2500 0.3089 0.9406
Tl2 0.7500 0.6911 0.0594


Entry 2:
The following is a DFT calculation (PBE-GGA) of a relaxed structure of Pr3YTl4.

Values from the calculation:
**Excess energy over the best structure of this formula in the dataset**: 141.0 meV/atom
**Formation enthalpy at 0 K**: -255 meV/atom
**V**: 258.37 Å³ per cell

Unit cell a=3.7619 b=7.3827 c=10.1835 alpha=111.25 beta=100.64 gamma=90.00
Site moments in Bohr magnetons follow the coordinates.
Sites, in units of the cell vectors:
Pr1 0.0000 0.5000 0.0000  -0.01
Pr2 0.2162 0.2165 0.4325  -0.01
Pr3 0.7838 0.7835 0.5675  -0.01
Y1 0.5000 0.0000 0.0000  0.15
Tl1 0.3744 0.5886 0.7489  0.00
Tl2 0.6256 0.4114 0.2511  0.00
Tl3 0.6256 0.8400 0.2513  0.00
Tl4 0.3744 0.1600 0.7487  0.00


Entry 3:
The following is a DFT calculation (PBE-GGA) of a relaxed structure of Pr6YTl5.

Values from the calculation:
**Formation enthalpy at 0 K**: -305 meV/atom
**V**: 369.42 Å³ per cell

Unit cell a=5.1387 b=9.2099 c=9.4199 alpha=119.27 beta=105.83 gamma=90.00
Sites, in units of the cell vectors:
Pr1 0.8283 0.5672 0.6566
Pr2 0.8283 0.0894 0.6566
Pr3 0.5000 0.7324 0.0000
Pr4 0.5000 0.2676 0.0000
Pr5 0.1717 0.9106 0.3434
Pr6 0.1717 0.4328 0.3434
Y1 0.0000 0.0000 0.0000
Tl1 0.6491 0.1491 0.2982
Tl2 0.3266 0.3266 0.6532
Tl3 0.0000 0.5000 0.0000
Tl4 0.6734 0.6734 0.3468
Tl5 0.3509 0.8509 0.7018


Entry 4:
The following is a DFT calculation (PBE-GGA) of a relaxed structure of Pr7YTl4.

Values from the calculation:
**Formation enthalpy at 0 K**: -78 meV/atom
**V**: 399.90 Å³ per cell

Unit cell a=5.9467 b=9.5775 c=8.0803 alpha=73.97 beta=68.41 gamma=71.91
Sites, in units of the cell vectors:
Pr1 0.7957 0.8835 0.5251
Pr2 0.2043 0.1165 0.4749
Pr3 0.0611 0.6075 0.2704
Pr4 0.9389 0.3925 0.7296
Pr5 0.2736 0.6650 0.7878
Pr6 0.5000 0.0000 0.0000
Pr7 0.7264 0.3350 0.2122
Y1 0.0000 0.0000 0.0000
Tl1 0.5567 0.2551 0.6316
Tl2 0.4433 0.7449 0.3684
Tl3 0.6860 0.6661 0.9618
Tl4 0.3140 0.3339 0.0382


Entry 5:
The following is a DFT calculation (PBE-GGA) of a relaxed structure of Pr9YTl2.

Values from the calculation:
**Formation enthalpy at 0 K**: -129 meV/atom
**V**: 396.82 Å³ per cell

Unit cell a=5.0524 b=5.0524 c=15.5449 alpha=90.00 beta=90.00 gamma=90.00
Sites, in units of the cell vectors:
Pr1 0.5000 0.5000 0.0000
Pr2 0.5000 0.5000 0.3372
Pr3 0.5000 0.5000 0.6628
Pr4 0.5000 0.0000 0.1730
Pr5 0.5000 0.0000 0.5000
Pr6 0.5000 0.0000 0.8270
Pr7 0.0000 0.5000 0.1730
Pr8 0.0000 0.5000 0.5000
Pr9 0.0000 0.5000 0.8270
Y1 0.0000 0.0000 0.0000
Tl1 0.0000 0.0000 0.3392
Tl2 0.0000 0.0000 0.6608


Entry 6:
The following is a DFT calculation (PBE-GGA) of a relaxed structure of Pr3Y2Tl2.

Values from the calculation:
**Excess energy over the best structure of this formula in the dataset**: 0.0 meV/atom
**Formation enthalpy at 0 K**: -208 meV/atom
**V**: 220.30 Å³ per cell

Unit cell a=5.5754 b=5.5670 c=8.8117 alpha=108.47 beta=90.00 gamma=120.05
Sites, in units of the cell vectors:
Pr1 0.5000 0.0000 0.0000
Pr2 0.6570 0.3140 0.4709
Pr3 0.3430 0.6860 0.5291
Y1 0.9254 0.8508 0.2769
Y2 0.0746 0.1492 0.7231
Tl1 0.7867 0.5735 0.8597
Tl2 0.2133 0.4265 0.1403


Entry 7:
The following is a DFT calculation (PBE-GGA) of a relaxed structure of Pr2YTl.

Values from the calculation:
**Excess energy over the best structure of this formula in the dataset**: 18.1 meV/atom
**Formation enthalpy at 0 K**: -187 meV/atom
**V**: 259.10 Å³ per cell

Unit cell a=5.5975 b=8.8387 c=6.9667 alpha=131.26 beta=90.00 gamma=90.00
Sites, in units of the cell vectors:
Pr1 0.7500 0.3361 0.7606
Pr2 0.2500 0.6639 0.2394
Pr3 0.2500 0.1277 0.8923
Pr4 0.7500 0.8723 0.1077
Y1 0.2500 0.5888 0.6805
Y2 0.7500 0.4112 0.3195
Tl1 0.7500 0.8787 0.6310
Tl2 0.2500 0.1213 0.3690


Entry 8:
The following is a DFT calculation (PBE-GGA) of a relaxed structure of Pr2YTl.

Values from the calculation:
**Excess energy over the best structure of this formula in the dataset**: 110.2 meV/atom
**Formation enthalpy at 0 K**: -95 meV/atom
**V**: 134.66 Å³ per cell

Unit cell a=3.7377 b=3.7377 c=11.3413 alpha=80.49 beta=80.49 gamma=59.97
Site moments in Bohr magnetons follow the coordinates.
Sites, in units of the cell vectors:
Pr1 0.0793 0.0793 0.7625  0.06
Pr2 0.2544 0.2544 0.2373  0.02
Y1 0.5000 0.5000 0.4996  0.12
Tl1 0.6663 0.6663 0.0006  0.00


Entry 9:
The following is a DFT calculation (PBE-GGA) of a relaxed structure of PrY2Tl.

Values from the calculation:
**Excess energy over the best structure of this formula in the dataset**: 165.4 meV/atom
**Formation enthalpy at 0 K**: -30 meV/atom
**V**: 120.05 Å³ per cell

Unit cell a=5.5372 b=5.5372 c=5.5372 alpha=60.00 beta=60.00 gamma=60.00
Site moments in Bohr magnetons follow the coordinates.
Sites, in units of the cell vectors:
Pr1 0.0000 0.0000 0.0000  0.53
Y1 0.2500 0.2500 0.2500  0.30
Y2 0.7500 0.7500 0.7500  0.30
Tl1 0.5000 0.5000 0.5000  0.00


Entry 10:
The following is a DFT calculation (PBE-GGA) of a relaxed structure of Pr12Y2Tl.

Values from the calculation:
**Formation enthalpy at 0 K**: 227 meV/atom
**V**: 1111.40 Å³ per cell

Unit cell a=6.7977 b=6.7977 c=24.0516 alpha=90.00 beta=90.00 gamma=90.00
Sites, in units of the cell vectors:
Pr1 0.5000 0.5000 0.8002
Pr2 0.0000 0.0000 0.8002
Pr3 0.7545 0.7455 0.9074
Pr4 0.2545 0.7545 0.9074
Pr5 0.0000 0.0000 0.3279
Pr6 0.2455 0.7455 0.0926
Pr7 0.8336 0.3336 0.5658
Pr8 0.5000 0.5000 0.3279
Pr9 0.2455 0.2545 0.9074
Pr10 0.7455 0.7545 0.0926
Pr11 0.3336 0.1664 0.5658
Pr12 0.6664 0.1664 0.4342
Pr13 0.0000 0.0000 0.6721
Pr14 0.1664 0.3336 0.4342
Pr15 0.2545 0.2455 0.0926
Pr16 0.8336 0.6664 0.4342
Pr17 0.6664 0.8336 0.5658
Pr18 0.0000 0.0000 0.1998
Pr19 0.1664 0.6664 0.5658
Pr20 0.5000 0.5000 0.6721
Pr21 0.7455 0.2455 0.9074
Pr22 0.5000 0.5000 0.1998
Pr23 0.3336 0.8336 0.4342
Pr24 0.7545 0.2545 0.0926
Y1 0.5000 0.0000 0.2503
Y2 0.0000 0.5000 0.2503
Y3 0.0000 0.5000 0.7497
Y4 0.5000 0.0000 0.7497
Tl1 0.5000 0.0000 0.0000
Tl2 0.0000 0.5000 0.0000


Entry 11:
The following is a DFT calculation (PBE-GGA) of a relaxed structure of Pr2Y2Tl3.

Values from the calculation:
**Excess energy over the best structure of this formula in the dataset**: 0.0 meV/atom
**Formation enthalpy at 0 K**: -253 meV/atom
**V**: 212.48 Å³ per cell

Unit cell a=3.6027 b=3.6015 c=16.4745 alpha=90.00 beta=83.72 gamma=90.00
Site moments in Bohr magnetons follow the coordinates.
Sites, in units of the cell vectors:
Pr1 0.5698 0.5000 0.8604  0.00
Pr2 0.4302 0.5000 0.1396  0.00
Y1 0.7024 0.5000 0.5952  0.20
Y2 0.2976 0.5000 0.4048  0.20
Tl1 0.8602 0.0000 0.2796  0.00
Tl2 0.0000 0.0000 0.0000  0.00
Tl3 0.1398 0.0000 0.7204  0.00


Entry 12:
The following is a DFT calculation (PBE-GGA) of a relaxed structure of PrY3Tl.

Values from the calculation:
**Excess energy over the best structure of this formula in the dataset**: 57.9 meV/atom
**Formation enthalpy at 0 K**: -62 meV/atom
**V**: 631.65 Å³ per cell

Unit cell a=6.5686 b=9.9784 c=9.9784 alpha=84.88 beta=79.61 gamma=79.61
Sites, in units of the cell vectors:
Pr1 0.5168 0.5428 0.6684
Pr2 0.9832 0.3316 0.4572
Pr3 0.4832 0.4572 0.3316
Pr4 0.0168 0.6684 0.5428
Y1 0.1310 0.7377 0.8779
Y2 0.3690 0.1221 0.2623
Y3 0.8690 0.2623 0.1221
Y4 0.6310 0.8779 0.7377
Y5 0.3675 0.3732 0.9961
Y6 0.1325 0.0039 0.6268
Y7 0.6325 0.6268 0.0039
Y8 0.8675 0.9961 0.3732
Y9 0.0062 0.4030 0.7931
Y10 0.4938 0.2069 0.5970
Y11 0.9938 0.5970 0.2069
Y12 0.5062 0.7931 0.4030
Tl1 0.7500 0.9092 0.0908
Tl2 0.2500 0.0908 0.9092
Tl3 0.7500 0.1502 0.8498
Tl4 0.2500 0.8498 0.1502